1.
LaTaCd2: optimized geometry, PBE.

## Properties
The distance to the lowest polymorph of the same formula comes out at 0.212 eV/f.u.

Lattice parameters (Å, degrees): 3.1429 3.1429 9.4528 90.00 90.00 90.00
Space group P4mm (No. 99)
Asymmetric unit:
La 0.0000 0.0000 0.0000 x1
Ta 0.5000 0.5000 0.2633 x1
Cd 0.0000 0.0000 0.4824 x1
Cd 0.5000 0.5000 0.7139 x1

2.
La2TaCd: optimized geometry, PBE.

Lattice parameters (Å, degrees): 3.2806 3.2814 10.0271 90.00 90.20 90.00
Space group P2/m (No. 10)
Asymmetric unit:
La 0.0013 0.0000 0.2359 x2
Ta 0.5000 0.5000 0.0000 x1
Cd 0.5000 0.5000 0.5000 x1

3.
LaTaCd2: optimized geometry, PBE.

## Properties
The distance to the lowest polymorph of the same formula comes out at 0.698 eV/f.u.

Lattice parameters (Å, degrees): 3.1851 3.1851 32.2461 90.00 90.00 120.00
Space group R3m (No. 160, hexagonal axes)
Asymmetric unit:
La 0.0000 0.0000 0.0000 x3
Ta 0.0000 0.0000 0.7504 x3
Cd 0.0000 0.0000 0.2392 x3
Cd 0.0000 0.0000 0.4918 x3

4.
LaTaCd: optimized geometry, PBE.

## Properties
The distance to the lowest polymorph of the same formula comes out at 0.505 eV/f.u.

Lattice parameters (Å, degrees): 5.2205 5.2205 3.1015 90.00 90.00 120.00
Space group P-6m2 (No. 187)
Asymmetric unit:
La 0.0000 0.0000 0.0000 x1
Ta 0.6667 0.3333 0.5000 x1
Cd 0.3333 0.6667 0.5000 x1

5.
LaTaCd2: optimized geometry, PBE.

## Properties
The distance to the lowest polymorph of the same formula comes out at 2.078 eV/f.u.

Lattice parameters (Å, degrees): 4.3653 4.3653 22.0205 90.00 90.00 90.00
Space group I-42d (No. 122)
Asymmetric unit:
La 0.0000 0.0000 0.0000 x4
Ta 0.0000 0.0000 0.5000 x4
Cd 0.2071 0.2500 0.6250 x8

6.
La2TaCd: optimized geometry, PBE.

Lattice parameters (Å, degrees): 7.4377 7.4377 7.4377 90.00 90.00 90.00
Space group F-43m (No. 216)
Asymmetric unit:
La 0.0000 0.0000 0.0000 x4
La 0.2500 0.2500 0.2500 x4
Ta 0.2500 0.2500 0.7500 x4
Cd 0.0000 0.0000 0.5000 x4

7.
LaTaCd2: optimized geometry, PBE.

## Properties
The distance to the lowest polymorph of the same formula comes out at 0.843 eV/f.u.

Lattice parameters (Å, degrees): 3.6695 4.7780 5.3455 90.00 90.00 90.00
Space group Pmmm (No. 47)
Asymmetric unit:
La 0.0000 0.0000 0.0000 x1
Ta 0.5000 0.5000 0.0000 x1
Cd 0.0000 0.5000 0.5000 x1
Cd 0.5000 0.0000 0.5000 x1

8.
La2TaCd: optimized geometry, PBE.

Lattice parameters (Å, degrees): 12.1564 3.2659 5.7183 90.00 105.29 90.00
Space group Cm (No. 8)
Asymmetric unit:
La 0.0000 0.0000 0.0000 x2
La 0.1947 0.0000 0.6434 x2
Ta 0.4464 0.0000 0.4885 x2
Cd 0.2601 0.5000 0.1805 x2

9.
LaTaCd2: optimized geometry, PBE.

## Properties
The distance to the lowest polymorph of the same formula comes out at 0.681 eV/f.u.

Lattice parameters (Å, degrees): 3.1363 5.6328 10.7713 90.00 90.00 90.00
Space group Imm2 (No. 44)
Asymmetric unit:
La 0.0000 0.0000 0.0000 x2
Ta 0.0000 0.5000 0.7505 x2
Cd 0.0000 0.0000 0.4836 x2
Cd 0.0000 0.5000 0.2215 x2

10.
LaTaCd3: optimized geometry, PBE.

## Properties
The distance to the lowest polymorph of the same formula comes out at 6.688 eV/f.u.

Lattice parameters (Å, degrees): 5.6541 5.6541 5.6541 90.00 90.00 90.00
Space group Pm-3m (No. 221)
Asymmetric unit:
La 0.0000 0.0000 0.0000 x1
Ta 0.5000 0.5000 0.5000 x1
Cd 0.0000 0.0000 0.5000 x3

11.
LaTa2Cd: optimized geometry, PBE.

Lattice parameters (Å, degrees): 4.2667 4.2667 20.9914 90.00 90.00 90.00
Space group I-42d (No. 122)
Asymmetric unit:
La 0.0000 0.0000 0.0000 x4
Ta 0.2432 0.2500 0.6250 x8
Cd 0.0000 0.0000 0.5000 x4

12.
LaTa2Cd: optimized geometry, PBE.

Lattice parameters (Å, degrees): 4.3514 4.3514 9.4899 90.00 90.00 90.00
Space group I4/mmm (No. 139)
Asymmetric unit:
La 0.0000 0.0000 0.0000 x2
Ta 0.0000 0.5000 0.2500 x4
Cd 0.0000 0.0000 0.5000 x2

13.
LaTaCd2: optimized geometry, PBE.

## Properties
The distance to the lowest polymorph of the same formula comes out at 0.233 eV/f.u.

Lattice parameters (Å, degrees): 3.0721 4.3069 7.1357 90.00 90.00 90.00
Space group Pmmm (No. 47)
Asymmetric unit:
La 0.0000 0.0000 0.0000 x1
Ta 0.0000 0.0000 0.5000 x1
Cd 0.5000 0.5000 0.2929 x2

14.
LaTaCd2: optimized geometry, PBE.

## Properties
The distance to the lowest polymorph of the same formula comes out at 0.000 eV/f.u.

Lattice parameters (Å, degrees): 3.1049 3.1049 9.4454 90.00 90.00 90.00
Space group P4/mmm (No. 123)
Asymmetric unit:
La 0.0000 0.0000 0.0000 x1
Ta 0.0000 0.0000 0.5000 x1
Cd 0.5000 0.5000 0.2797 x2

15.
LaTaCd2: optimized geometry, PBE.

## Properties
The distance to the lowest polymorph of the same formula comes out at 1.485 eV/f.u.

Lattice parameters (Å, degrees): 7.3529 7.3529 7.3529 90.00 90.00 90.00
Space group F-43m (No. 216)
Asymmetric unit:
La 0.0000 0.0000 0.0000 x4
Ta 0.2500 0.2500 0.7500 x4
Cd 0.0000 0.0000 0.5000 x4
Cd 0.2500 0.2500 0.2500 x4

16.
La2TaCd: optimized geometry, PBE.

Lattice parameters (Å, degrees): 8.0742 8.1462 3.3549 90.00 90.00 90.00
Space group Cmmm (No. 65)
Asymmetric unit:
La 0.2500 0.2500 0.0000 x4
Ta 0.0000 0.0000 0.5000 x2
Cd 0.0000 0.5000 0.5000 x2

17.
LaTa2Cd: optimized geometry, PBE.

Lattice parameters (Å, degrees): 4.3814 4.3814 4.6681 90.00 90.00 90.00
Space group P4/mmm (No. 123)
Asymmetric unit:
La 0.0000 0.0000 0.0000 x1
Ta 0.0000 0.5000 0.5000 x2
Cd 0.5000 0.5000 0.0000 x1

18.
LaTaCd: optimized geometry, PBE.

## Properties
The distance to the lowest polymorph of the same formula comes out at 1.885 eV/f.u.

Lattice parameters (Å, degrees): 6.9766 6.9766 6.9766 90.00 90.00 90.00
Space group F-43m (No. 216)
Asymmetric unit:
La 0.0000 0.0000 0.0000 x4
Ta 0.2500 0.2500 0.7500 x4
Cd 0.0000 0.0000 0.5000 x4

19.
La2TaCd: optimized geometry, PBE.

Lattice parameters (Å, degrees): 3.3758 5.4972 5.5131 90.00 90.00 90.00
Space group Pmmm (No. 47)
Asymmetric unit:
La 0.0000 0.0000 0.0000 x1
La 0.5000 0.5000 0.0000 x1
Ta 0.0000 0.5000 0.5000 x1
Cd 0.5000 0.0000 0.5000 x1

20.
La2TaCd: optimized geometry, PBE.

Lattice parameters (Å, degrees): 3.3660 3.3660 33.0753 90.00 90.00 120.00
Space group R3m (No. 160, hexagonal axes)
Asymmetric unit:
La 0.0000 0.0000 0.0000 x3
La 0.0000 0.0000 0.2314 x3
Ta 0.0000 0.0000 0.4891 x3
Cd 0.0000 0.0000 0.7525 x3

Per-record volume, Å³/atom: 23.34; 26.99; 23.61; 24.40; 26.23; 25.72; 23.43; 27.37; 23.79; 36.15; 23.88; 22.46; 23.60; 22.76; 24.85; 27.58; 22.40; 28.30; 25.58; 27.04
Per-record density, g cm⁻³: 9.686; 8.787; 9.577; 9.806; 8.622; 9.221; 9.650; 8.662; 9.506; 6.037; 10.658; 11.334; 9.580; 9.933; 9.101; 8.596; 11.363; 8.455; 9.270; 8.767
Per-record formation energy from the elements, eV per atom: 0.1931; 0.1648; 0.3146; 0.4435; 0.6597; 0.4058; 0.3508; 0.2257; 0.3105; 1.9389; 0.7816; 0.5850; 0.1983; 0.1402; 0.5114; 0.2547; 0.5887; 0.9037; 0.4457; 0.3683